The following is a DFT calculation (PBEsol) of an optimized crystal structure of TaGaTeW2.

Size of the total moment in μB/f.u.: 0.04
Formation energy (no corrections) in eV per atom: 2.0903

The structure in CIF format:
```
data_TaGaTeW2
_chemical_formula_sum 'Ta1 Ga1 Te1 W2'
_symmetry_space_group_name_H-M 'P 1'
_symmetry_Int_Tables_number 1
_cell_length_a 4.838
_cell_length_b 4.838
_cell_length_c 5.179
_cell_angle_alpha 90.00
_cell_angle_beta 90.00
_cell_angle_gamma 90.00
loop_
_symmetry_equiv_pos_as_xyz
'x,y,z'
loop_
_atom_site_label
_atom_site_fract_x
_atom_site_fract_y
_atom_site_fract_z
_atom_site_occupancy
Ta1 0.000 0.000 0.000 1
Ga1 0.500 0.500 0.500 1
Te1 0.000 0.000 0.500 1
W1 0.000 0.500 0.000 1
W2 0.500 0.000 0.000 1
```

The following is a DFT calculation (PBEsol) of an optimized crystal structure of SrZr2NbO.

Size of the total moment in μB/f.u.: 0.01
Formation energy (no corrections) in eV per atom: -0.6406

The structure in CIF format:
```
data_SrZr2NbO
_chemical_formula_sum 'Sr1 Zr2 Nb1 O1'
_symmetry_space_group_name_H-M 'P 1'
_symmetry_Int_Tables_number 1
_cell_length_a 4.451
_cell_length_b 4.451
_cell_length_c 4.887
_cell_angle_alpha 90.00
_cell_angle_beta 90.00
_cell_angle_gamma 90.00
loop_
_symmetry_equiv_pos_as_xyz
'x,y,z'
loop_
_atom_site_label
_atom_site_fract_x
_atom_site_fract_y
_atom_site_fract_z
_atom_site_occupancy
Sr1 0.000 0.000 0.000 1
Zr1 0.000 0.500 0.500 1
Zr2 0.500 0.000 0.500 1
Nb1 0.500 0.500 0.000 1
O1 0.000 0.000 0.500 1
```

The following is a DFT calculation (PBEsol) of an optimized crystal structure of MnCd2CoO.

Size of the total moment in μB/f.u.: 2.78
Formation energy (no corrections) in eV per atom: 0.9508

The structure in CIF format:
```
data_MnCd2CoO
_chemical_formula_sum 'Mn1 Cd2 Co1 O1'
_symmetry_space_group_name_H-M 'P 1'
_symmetry_Int_Tables_number 1
_cell_length_a 4.792
_cell_length_b 4.792
_cell_length_c 4.046
_cell_angle_alpha 90.00
_cell_angle_beta 90.00
_cell_angle_gamma 90.00
loop_
_symmetry_equiv_pos_as_xyz
'x,y,z'
loop_
_atom_site_label
_atom_site_fract_x
_atom_site_fract_y
_atom_site_fract_z
_atom_site_occupancy
Mn1 0.000 0.000 0.000 1
Cd1 0.000 0.500 0.500 1
Cd2 0.500 0.000 0.500 1
Co1 0.000 0.000 0.500 1
O1 0.500 0.500 0.000 1
```

The following is a DFT calculation (PBEsol) of an optimized crystal structure of ZnH8SO8.

Size of the total moment in μB/f.u.: 0.00
E in eV/atom: -5.33

The structure in CIF format:
```
data_ZnH8SO8
_chemical_formula_sum 'Zn4 H32 S4 O32'
_symmetry_space_group_name_H-M 'P 1'
_symmetry_Int_Tables_number 1
_cell_length_a 5.690
_cell_length_b 13.813
_cell_length_c 9.345
_cell_angle_alpha 90.00
_cell_angle_beta 124.08
_cell_angle_gamma 90.00
loop_
_symmetry_equiv_pos_as_xyz
'x,y,z'
loop_
_atom_site_label
_atom_site_fract_x
_atom_site_fract_y
_atom_site_fract_z
_atom_site_occupancy
Zn1 0.206 0.109 0.276 1
Zn2 0.206 0.391 0.776 1
Zn3 0.794 0.609 0.224 1
Zn4 0.794 0.891 0.724 1
H1 0.013 0.096 0.939 1
H2 0.013 0.404 0.439 1
H3 0.113 0.737 0.772 1
H4 0.113 0.763 0.272 1
H5 0.194 0.196 0.781 1
H6 0.194 0.304 0.281 1
H7 0.212 0.190 0.022 1
H8 0.212 0.310 0.522 1
H9 0.271 0.507 0.322 1
H10 0.271 0.993 0.822 1
H11 0.278 0.560 0.039 1
H12 0.278 0.940 0.539 1
H13 0.318 0.627 0.188 1
H14 0.318 0.873 0.688 1
H15 0.354 0.591 0.462 1
H16 0.354 0.909 0.962 1
H17 0.646 0.091 0.038 1
H18 0.646 0.409 0.538 1
H19 0.682 0.127 0.312 1
H20 0.682 0.373 0.812 1
H21 0.722 0.060 0.461 1
H22 0.722 0.440 0.961 1
H23 0.729 0.007 0.178 1
H24 0.729 0.493 0.678 1
H25 0.788 0.690 0.478 1
H26 0.788 0.810 0.978 1
H27 0.806 0.696 0.719 1
H28 0.806 0.804 0.219 1
H29 0.887 0.237 0.728 1
H30 0.887 0.263 0.228 1
H31 0.987 0.596 0.561 1
H32 0.987 0.904 0.061 1
S1 0.493 0.109 0.684 1
S2 0.493 0.391 0.184 1
S3 0.507 0.609 0.816 1
S4 0.507 0.891 0.316 1
O1 0.094 0.248 0.292 1
O2 0.094 0.252 0.792 1
O3 0.175 0.125 0.050 1
O4 0.175 0.375 0.550 1
O5 0.222 0.575 0.338 1
O6 0.222 0.925 0.838 1
O7 0.243 0.550 0.743 1
O8 0.243 0.950 0.243 1
O9 0.265 0.068 0.513 1
O10 0.265 0.432 0.013 1
O11 0.360 0.623 0.099 1
O12 0.360 0.877 0.599 1
O13 0.393 0.100 0.804 1
O14 0.393 0.400 0.304 1
O15 0.452 0.711 0.830 1
O16 0.452 0.789 0.330 1
O17 0.548 0.211 0.670 1
O18 0.548 0.289 0.170 1
O19 0.607 0.600 0.696 1
O20 0.607 0.900 0.196 1
O21 0.640 0.123 0.401 1
O22 0.640 0.377 0.901 1
O23 0.735 0.568 0.987 1
O24 0.735 0.932 0.487 1
O25 0.757 0.050 0.757 1
O26 0.757 0.450 0.257 1
O27 0.778 0.075 0.162 1
O28 0.778 0.425 0.662 1
O29 0.825 0.625 0.450 1
O30 0.825 0.875 0.950 1
O31 0.906 0.748 0.208 1
O32 0.906 0.752 0.708 1
```

The following is a DFT calculation (PBEsol) of an optimized crystal structure of YBOsF2.

Size of the total moment in μB/f.u.: 0.37
Formation energy (no corrections) in eV per atom: -0.4074

The structure in CIF format:
```
data_YBOsF2
_chemical_formula_sum 'Y1 B1 Os1 F2'
_symmetry_space_group_name_H-M 'P 1'
_symmetry_Int_Tables_number 1
_cell_length_a 3.977
_cell_length_b 3.977
_cell_length_c 4.301
_cell_angle_alpha 90.00
_cell_angle_beta 90.00
_cell_angle_gamma 90.00
loop_
_symmetry_equiv_pos_as_xyz
'x,y,z'
loop_
_atom_site_label
_atom_site_fract_x
_atom_site_fract_y
_atom_site_fract_z
_atom_site_occupancy
Y1 0.000 0.000 0.000 1
B1 0.500 0.500 0.500 1
Os1 0.500 0.500 0.000 1
F1 0.000 0.500 0.500 1
F2 0.500 0.000 0.500 1
```

The following is a DFT calculation (PBEsol) of an optimized crystal structure of ZrTa2NbIr.

Size of the total moment in μB/f.u.: 0.01
Energy of formation from the pure elements in meV/atom: 1012

The structure in CIF format:
```
data_ZrTa2NbIr
_chemical_formula_sum 'Zr1 Ta2 Nb1 Ir1'
_symmetry_space_group_name_H-M 'P 1'
_symmetry_Int_Tables_number 1
_cell_length_a 4.794
_cell_length_b 4.794
_cell_length_c 4.889
_cell_angle_alpha 90.00
_cell_angle_beta 90.00
_cell_angle_gamma 90.00
loop_
_symmetry_equiv_pos_as_xyz
'x,y,z'
loop_
_atom_site_label
_atom_site_fract_x
_atom_site_fract_y
_atom_site_fract_z
_atom_site_occupancy
Zr1 0.000 0.000 0.000 1
Ta1 0.000 0.500 0.500 1
Ta2 0.500 0.000 0.500 1
Nb1 0.500 0.500 0.000 1
Ir1 0.000 0.000 0.500 1
```

The following is a DFT calculation (PBEsol) of an optimized crystal structure of MgCdW2.

Energy above the most stable polymorph in this dataset in eV/atom: 0.111
Size of the total moment in μB/f.u.: 0.00
Energy of formation from the pure elements in meV/atom: 528

The structure in CIF format:
```
data_MgCdW2
_chemical_formula_sum 'Mg1 Cd1 W2'
_symmetry_space_group_name_H-M 'P 1'
_symmetry_Int_Tables_number 1
_cell_length_a 5.458
_cell_length_b 5.458
_cell_length_c 2.726
_cell_angle_alpha 97.47
_cell_angle_beta 97.47
_cell_angle_gamma 120.57
loop_
_symmetry_equiv_pos_as_xyz
'x,y,z'
loop_
_atom_site_label
_atom_site_fract_x
_atom_site_fract_y
_atom_site_fract_z
_atom_site_occupancy
Mg1 0.000 0.000 0.000 1
Cd1 0.500 0.500 0.000 1
W1 0.000 0.500 0.500 1
W2 0.500 0.000 0.500 1
```

The following is a DFT calculation (PBEsol) of an optimized crystal structure of TlTe2W.

Energy above the most stable polymorph in this dataset in eV/atom: 0.000
Size of the total moment in μB/f.u.: 0.00
Formation energy (no corrections) in eV per atom: 0.4255

The structure in CIF format:
```
data_TlTe2W
_chemical_formula_sum 'Tl1 Te2 W1'
_symmetry_space_group_name_H-M 'P 1'
_symmetry_Int_Tables_number 1
_cell_length_a 7.072
_cell_length_b 7.072
_cell_length_c 7.072
_cell_angle_alpha 153.85
_cell_angle_beta 138.59
_cell_angle_gamma 49.64
loop_
_symmetry_equiv_pos_as_xyz
'x,y,z'
loop_
_atom_site_label
_atom_site_fract_x
_atom_site_fract_y
_atom_site_fract_z
_atom_site_occupancy
Tl1 0.000 0.000 0.000 1
Te1 0.326 0.826 0.500 1
Te2 0.674 0.174 0.500 1
W1 0.500 0.500 0.000 1
```